1.
Ho7Sb2Te2 | GGA-PBE | relaxed

Calculated values
Crystal system   orthorhombic
Calculated volume   339.9 Å³/cell
Symmetry   Cmmm, No. 65
E_form (uncorrected)   -0.47 eV per atom
Calculated total energy   -4.7088 eV/atom

Cell lengths 7.032, 6.961, 7.032 Å; angles 90.00, 99.04, 90.00 degrees
Element x y z (fractional)
Ho1 0.500 0.737 0.500
Ho2 0.500 0.268 0.000
Ho3 0.000 0.000 0.000
Te1 0.279 0.000 0.721
Ho4 0.000 0.268 0.500
Ho5 0.500 0.732 0.000
Sb1 0.201 0.500 0.201
Ho6 0.000 0.732 0.500
Sb2 0.799 0.500 0.799
Ho7 0.500 0.263 0.500
Te2 0.721 0.000 0.279

2.
MoRh2Br | GGA-PBE | relaxed

Calculated values
Crystal system   tetragonal
Calculated volume   63.9 Å³/cell
Symmetry   P4/mmm, No. 123
E_form (uncorrected)   0.85 eV per atom
Calculated total energy   -5.9513 eV/atom

Cell lengths 4.023, 3.986, 3.986 Å; angles 90.00, 90.00, 90.00 degrees
Last column: magnetic moment on the atom in μB.
Element x y z (fractional)
Br1 0.500 0.500 0.000  -0.01
Rh1 0.000 0.500 0.500  0.00
Mo1 0.500 0.000 0.500  1.03
Rh2 0.000 0.000 0.000  0.00

3.
KY3Cl | GGA-PBE | relaxed

Calculated values
Crystal system   cubic
Calculated volume   189.0 Å³/cell
Symmetry   Pm-3m, No. 221
E_form (uncorrected)   1.20 eV per atom
Calculated total energy   -3.2634 eV/atom

Cell lengths 5.739, 5.739, 5.739 Å; angles 90.00, 90.00, 90.00 degrees
Element x y z (fractional)
K1 0.000 0.000 0.000
Y1 0.000 0.500 0.000
Cl1 0.500 0.500 0.500
Y2 0.500 0.000 0.000
Y3 0.000 0.000 0.500

4.
NaLa3Ir | GGA-PBE | relaxed

Calculated values
Crystal system   triclinic
Calculated volume   345.1 Å³/cell
Calculated formation energy   -0.30 eV/atom
Symmetry   P1, No. 1
Calculated total energy   -5.2888 eV/atom

Cell lengths 4.106, 9.292, 10.024 Å; angles 67.72, 78.15, 89.98 degrees
Element x y z (fractional)
Na1 0.952 0.028 0.342
La1 0.380 0.670 0.486
La2 0.639 0.122 0.967
La3 0.263 0.946 0.719
La4 0.052 0.702 0.142
La5 0.842 0.322 0.563
Ir1 0.250 0.366 0.744
La6 0.703 0.549 0.838
Ir2 0.657 0.827 0.931
Na2 0.504 0.338 0.240